[1]
Nd2DyRh (PBE, optimized geometry); calculated density = 7.20 Mg/m³; crystal system = trigonal; formation energy = -0.062 eV per atom; Fermi-level density of states = 1.489 states/eV/atom
1.0
-1.4914 0.0874 -3.4076
-3.6807 -0.3350 -0.4289
-2.7716 10.4936 -0.5491
Nd Rh Dy
2 1 1
Direct
0.8905 0.8905 0.3285
0.1095 0.1095 0.6715
0.5000 0.5000 0.5000
0.0000 0.0000 0.0000



[2]
Ba2FeW (PBE, optimized geometry); calculated density = 8.04 Mg/m³; crystal system = orthorhombic; formation energy = 1.430 eV per atom; Fermi-level density of states = 1.089 states/eV/atom
1.0
-1.0378 -1.3844 -2.6746
1.9149 -2.4856 0.5496
-7.6407 -4.6938 5.3942
Ba W Fe
2 1 1
Direct
0.0000 0.0000 0.0051
0.0000 0.0000 0.4949
0.5000 0.5000 0.7500
0.5000 0.5000 0.2500



[3]
Dy2Tm2Sc3 (PBE, optimized geometry); calculated density = 6.78 Mg/m³; crystal system = monoclinic; formation energy = 0.051 eV per atom; Fermi-level density of states = 1.596 states/eV/atom
1.0
-4.7404 -0.2774 0.7639
1.8678 -3.0707 -4.6651
1.1669 -5.3958 5.2818
Dy Tm Sc
2 2 3
Direct
0.2123 0.4247 0.1459
0.7877 0.5753 0.8541
0.9288 0.8576 0.2897
0.0712 0.1424 0.7103
0.3572 0.7143 0.5720
0.5000 0.0000 0.0000
0.6428 0.2857 0.4280



[4]
NbPtRh3 (PBE, optimized geometry); calculated density = 9.51 Mg/m³; crystal system = cubic; formation energy = 1.540 eV per atom; Fermi-level density of states = 1.948 states/eV/atom
1.0
-2.4650 1.8794 3.5402
-3.9076 -0.2020 -2.6136
-0.8919 -4.3091 1.6665
Rh Nb Pt
3 1 1
Direct
0.5000 0.0000 0.0000
0.0000 0.0000 0.5000
0.0000 0.5000 0.0000
0.5000 0.5000 0.5000
0.0000 0.0000 0.0000



[5]
CaTiIn2Ni (PBE, optimized geometry); calculated density = 4.13 Mg/m³; crystal system = tetragonal; formation energy = 1.003 eV per atom; Fermi-level density of states = 1.504 states/eV/atom
1.0
-0.1350 4.9141 1.9816
-3.5585 -1.5948 3.7123
3.9753 -1.2167 3.2879
Ti Ni In Ca
1 1 2 1
Direct
0.0000 0.0000 0.0000
0.5000 0.5000 0.5000
0.5000 0.0000 0.0000
0.0000 0.0000 0.5000
0.0000 0.5000 0.0000



[6]
CrCd (PBE, optimized geometry); calculated density = 8.14 Mg/m³; crystal system = trigonal; formation energy = 0.332 eV per atom; Fermi-level density of states = 0.814 states/eV/atom
1.0
2.9266 0.0000 0.0000
-1.4633 2.5345 0.0000
0.0000 0.0000 9.0442
Cd Cr
2 2
Direct
0.3333 0.6667 0.2742
0.0000 0.0000 0.9758
0.0000 0.0000 0.5439
0.3333 0.6667 0.7061



[7]
LaSc2Sn (PBE, optimized geometry); calculated density = 5.49 Mg/m³; crystal system = tetragonal; formation energy = -0.281 eV per atom; Fermi-level density of states = 1.370 states/eV/atom
1.0
3.7002 0.0000 0.0000
0.0000 3.7002 0.0000
0.0000 0.0000 7.6766
La Sn Sc
1 1 2
Direct
0.5000 0.5000 0.0000
0.5000 0.5000 0.5000
0.0000 0.0000 0.7107
0.0000 0.0000 0.2893



[8]
LiTlPtRh (PBE, optimized geometry); calculated density = 13.12 Mg/m³; crystal system = cubic; formation energy = -0.196 eV per atom; Fermi-level density of states = 0.375 states/eV/atom
1.0
4.5009 0.0000 0.0000
2.2505 3.8979 0.0000
2.2505 1.2993 3.6750
Pt Rh Li Tl
1 1 1 1
Direct
0.7500 0.7500 0.7500
0.2500 0.2500 0.2500
0.5000 0.5000 0.5000
0.0000 0.0000 0.0000



Number 7 is which compound? LaSc2Sn